1.
{
  "formula": "Sc4Ge6Ir7",
  "functional": "GGA-PBE",
  "state": "relaxed",
  "space_group": "Im-3m (229)",
  "delta_e_f_ev_per_atom": -0.8534,
  "crystal_system": "cubic",
  "lattice": [[-4.103, 4.103, 4.103], [4.103, -4.103, 4.103], [4.103, 4.103, -4.103]],
  "species": ["Sc", "Sc", "Sc", "Sc", "Ge", "Ge", "Ge", "Ge", "Ge", "Ge", "Ir", "Ir", "Ir", "Ir", "Ir", "Ir", "Ir"],
  "fractional_positions": [[0.000, 0.000, 0.500], [0.000, 0.500, 0.000], [0.500, 0.000, 0.000], [0.500, 0.500, 0.500], [0.000, 0.312, 0.312], [0.000, 0.688, 0.688], [0.312, 0.000, 0.312], [0.312, 0.312, 0.000], [0.688, 0.000, 0.688], [0.688, 0.688, 0.000], [0.000, 0.000, 0.000], [0.250, 0.500, 0.750], [0.250, 0.750, 0.500], [0.500, 0.250, 0.750], [0.500, 0.750, 0.250], [0.750, 0.250, 0.500], [0.750, 0.500, 0.250]]
}

=====

2.
{
  "formula": "KP2Pd",
  "functional": "GGA-PBE",
  "state": "relaxed",
  "de_polymorph_mev_per_atom": 0,
  "space_group": "C2/c (15)",
  "delta_e_f_ev_per_atom": -0.3720,
  "crystal_system": "monoclinic",
  "lattice": [[2.763, -6.688, 0.000], [2.763, 6.688, 0.000], [-2.356, 0.000, 5.140]],
  "species": ["K", "K", "P", "P", "P", "P", "Pd", "Pd"],
  "fractional_positions": [[0.084, 0.916, 0.750], [0.916, 0.084, 0.250], [0.237, 0.537, 0.857], [0.463, 0.763, 0.643], [0.537, 0.237, 0.357], [0.763, 0.463, 0.143], [0.254, 0.746, 0.250], [0.746, 0.254, 0.750]]
}

=====

3.
{
  "formula": "LiMoAs",
  "functional": "GGA-PBE",
  "state": "relaxed",
  "de_polymorph_mev_per_atom": 0,
  "space_group": "P4/nmm (129)",
  "delta_e_f_ev_per_atom": -0.4092,
  "crystal_system": "tetragonal",
  "lattice": [[3.877, 0.000, 0.000], [0.000, 3.877, 0.000], [0.000, 0.000, 6.803]],
  "species": ["Li", "Li", "Mo", "Mo", "As", "As"],
  "fractional_positions": [[0.250, 0.250, 0.153], [0.750, 0.750, 0.847], [0.250, 0.750, 0.500], [0.750, 0.250, 0.500], [0.250, 0.250, 0.760], [0.750, 0.750, 0.240]]
}

=====

4.
{
  "formula": "Rb2ThSnTe5",
  "functional": "GGA-PBE",
  "state": "relaxed",
  "space_group": "Cmc2_1 (36)",
  "raw_formation_energy_ev_per_atom": -0.829,
  "crystal_system": "orthorhombic",
  "lattice": [[2.293, -11.035, 0.000], [2.293, 11.035, 0.000], [0.000, 0.000, 15.572]],
  "species": ["Rb", "Rb", "Rb", "Rb", "Th", "Th", "Sn", "Sn", "Te", "Te", "Te", "Te", "Te", "Te", "Te", "Te", "Te", "Te"],
  "fractional_positions": [[0.121, 0.879, 0.500], [0.129, 0.871, 0.853], [0.871, 0.129, 0.353], [0.879, 0.121, 0.000], [0.208, 0.792, 0.201], [0.792, 0.208, 0.701], [0.436, 0.564, 0.585], [0.564, 0.436, 0.085], [0.053, 0.947, 0.200], [0.309, 0.691, 0.553], [0.310, 0.690, 0.831], [0.339, 0.661, 0.174], [0.496, 0.504, 0.435], [0.504, 0.496, 0.935], [0.661, 0.339, 0.674], [0.690, 0.310, 0.331], [0.691, 0.309, 0.053], [0.947, 0.053, 0.700]]
}

=====

5.
{
  "formula": "Tc2NiOs",
  "functional": "GGA-PBE",
  "state": "relaxed",
  "de_polymorph_mev_per_atom": 161,
  "space_group": "P4mm (99)",
  "delta_e_f_ev_per_atom": 0.1092,
  "crystal_system": "tetragonal",
  "lattice": [[2.698, 0.000, 0.000], [0.000, 2.698, 0.000], [0.000, 0.000, 7.540]],
  "species": ["Tc", "Tc", "Ni", "Os"],
  "fractional_positions": [[0.000, 0.000, 0.000], [0.500, 0.500, 0.272], [0.000, 0.000, 0.509], [0.500, 0.500, 0.753]]
}

=====

6.
{
  "formula": "Lu2InTc",
  "functional": "GGA-PBE",
  "state": "relaxed",
  "de_polymorph_mev_per_atom": 217,
  "space_group": "R-3m (166)",
  "delta_e_f_ev_per_atom": -0.0953,
  "crystal_system": "trigonal",
  "lattice": [[1.704, 0.984, 9.306], [-1.704, 0.984, 9.306], [0.000, -1.968, 9.306]],
  "species": ["Lu", "Lu", "In", "Tc"],
  "fractional_positions": [[0.238, 0.238, 0.238], [0.762, 0.762, 0.762], [0.000, 0.000, 0.000], [0.500, 0.500, 0.500]]
}

=====

7.
{
  "formula": "Sr3Zn3Rh2",
  "functional": "GGA-PBE",
  "state": "relaxed",
  "de_polymorph_mev_per_atom": 0,
  "space_group": "Pnma (62)",
  "delta_e_f_ev_per_atom": -0.3678,
  "crystal_system": "orthorhombic",
  "lattice": [[8.269, 0.000, 0.000], [0.000, 15.624, 0.000], [0.000, 0.000, 6.044]],
  "species": ["Sr", "Sr", "Sr", "Sr", "Sr", "Sr", "Sr", "Sr", "Sr", "Sr", "Sr", "Sr", "Zn", "Zn", "Zn", "Zn", "Zn", "Zn", "Zn", "Zn", "Zn", "Zn", "Zn", "Zn", "Rh", "Rh", "Rh", "Rh", "Rh", "Rh", "Rh", "Rh"],
  "fractional_positions": [[0.043, 0.105, 0.119], [0.043, 0.395, 0.119], [0.187, 0.250, 0.622], [0.313, 0.750, 0.122], [0.457, 0.605, 0.619], [0.457, 0.895, 0.619], [0.543, 0.105, 0.381], [0.543, 0.395, 0.381], [0.687, 0.250, 0.878], [0.813, 0.750, 0.378], [0.957, 0.605, 0.881], [0.957, 0.895, 0.881], [0.156, 0.750, 0.579], [0.170, 0.038, 0.614], [0.170, 0.462, 0.614], [0.330, 0.538, 0.114], [0.330, 0.962, 0.114], [0.344, 0.250, 0.079], [0.656, 0.750, 0.921], [0.670, 0.038, 0.886], [0.670, 0.462, 0.886], [0.830, 0.538, 0.386], [0.830, 0.962, 0.386], [0.844, 0.250, 0.421], [0.118, 0.602, 0.387], [0.118, 0.898, 0.387], [0.382, 0.102, 0.887], [0.382, 0.398, 0.887], [0.618, 0.602, 0.113], [0.618, 0.898, 0.113], [0.882, 0.102, 0.613], [0.882, 0.398, 0.613]]
}

=====

8.
{
  "formula": "TeOs2Cl",
  "functional": "GGA-PBE",
  "state": "relaxed",
  "de_polymorph_mev_per_atom": 829,
  "space_group": "C2/m (12)",
  "raw_formation_energy_ev_per_atom": 1.050,
  "crystal_system": "monoclinic",
  "lattice": [[4.202, -1.543, 0.000], [4.202, 1.543, 0.000], [-1.071, 0.000, 5.208]],
  "species": ["Te", "Os", "Os", "Cl"],
  "fractional_positions": [[0.000, 0.000, 0.000], [0.253, 0.253, 0.746], [0.747, 0.747, 0.254], [0.500, 0.500, 0.500]]
}

=====

Number 1: M_tot 0.000 μB per formula unit. Number 2: M_tot 0.000 μB per formula unit. Number 3: M_tot 0.000 μB per formula unit. Number 4: M_tot 0.000 μB per formula unit. Number 5: M_tot 0.000 μB per formula unit. Number 6: M_tot 0.000 μB per formula unit. Number 7: M_tot 0.000 μB per formula unit. Number 8: M_tot 0.000 μB per formula unit.